# 1
Ba2LaAl, optimized geometry, DFT PBE; formation energy from the elements = 0.08 eV/atom; DOS(E_F) = 5.21 states/eV per cell; theoretical density = 4.629 g/cm3; E = -3.0485 eV/atom
1.0
-2.131 2.841 6.526
2.131 -2.841 6.526
2.131 2.841 -6.526
Ba La Al
2 1 1
Direct
0.207 0.207 0.000
0.793 0.793 0.000
0.500 0.000 0.500
0.000 0.500 0.500

=====

# 2
KCd2Co, optimized geometry, DFT PBE; energy above the lowest structure with this stoichiometry = 318 meV/atom; formation energy from the elements = 0.64 eV/atom; DOS(E_F) = 3.26 states/eV per cell; theoretical density = 5.605 g/cm3; E = -1.8718 eV/atom
1.0
-2.456 2.456 3.963
2.456 -2.456 3.963
2.456 2.456 -3.963
K Cd Co
1 2 1
Direct
0.000 0.000 0.000
0.250 0.750 0.500
0.500 0.500 0.000
0.750 0.250 0.500

=====

Number 1: V 39.505 Å³/atom. Number 2: V 23.912 Å³/atom.